VASP calculation (PBE-GGA) on a relaxed structure of La4Pm2ErMg.

Crystal system: tetragonal
SG: P4/mmm
Formation enthalpy at 0 K: 0.0005 eV per atom

a b c (Å): 5.1552 5.1552 10.1795
angles (deg): 90.00 90.00 90.00
Fractional positions:
La 0.0000 0.5000 0.2470
La 0.0000 0.5000 0.7530
La 0.5000 0.0000 0.2470
La 0.5000 0.0000 0.7530
Pm 0.0000 0.0000 0.0000
Pm 0.5000 0.5000 0.5000
Er 0.0000 0.0000 0.5000
Mg 0.5000 0.5000 0.0000

VASP calculation (PBE-GGA) on a relaxed structure of LuAgSnHg.

Crystal system: cubic
SG: F-43m
Formation enthalpy at 0 K: -0.2896 eV per atom

a b c (Å): 5.0554 5.0554 5.0554
angles (deg): 60.00 60.00 60.00
Fractional positions:
Lu 0.0000 0.0000 0.0000
Ag 0.5000 0.5000 0.5000
Sn 0.7500 0.7500 0.7500
Hg 0.2500 0.2500 0.2500

VASP calculation (PBE-GGA) on a relaxed structure of V2AsSe.

Formation energy from raw total energies: -0.205 eV per atom
Energy above the most stable polymorph in this dataset: 43 kJ/mol of formula units
Crystal system: cubic
SG: Fm-3m

a b c (Å): 4.3678 4.3678 4.3678
angles (deg): 60.00 60.00 60.00
Fractional positions:
V 0.2500 0.2500 0.2500
V 0.7500 0.7500 0.7500
As 0.0000 0.0000 0.0000
Se 0.5000 0.5000 0.5000

VASP calculation (PBE-GGA) on a relaxed structure of NbFe3Tc.

Energy above the most stable polymorph in this dataset: 0 kJ/mol of formula units
Crystal system: cubic
SG: Pm-3m
Formation enthalpy at 0 K: 1.3326 eV per atom

a b c (Å): 4.3625 4.3625 4.3625
angles (deg): 90.00 90.00 90.00
Fractional positions:
Nb 0.0000 0.0000 0.0000
Fe 0.0000 0.5000 0.5000
Fe 0.5000 0.0000 0.5000
Fe 0.5000 0.5000 0.0000
Tc 0.5000 0.5000 0.5000

VASP calculation (PBE-GGA) on a relaxed structure of LaYSi.

Formation energy from raw total energies: -0.353 eV per atom
Energy above the most stable polymorph in this dataset: 46 kJ/mol of formula units
Crystal system: tetragonal
SG: I4mm

a b c (Å): 7.3878 7.3878 7.3878
angles (deg): 152.91 152.91 38.69
Fractional positions:
La 0.0000 0.0000 0.0000
Y 0.2661 0.2661 0.0000
Si 0.6412 0.6412 0.0000

VASP calculation (PBE-GGA) on a relaxed structure of CaLuPdRu.

Crystal system: cubic
SG: F-43m
Formation enthalpy at 0 K: -0.4055 eV per atom

a b c (Å): 4.8099 4.8099 4.8099
angles (deg): 60.00 60.00 60.00
Fractional positions:
Ca 0.0000 0.0000 0.0000
Lu 0.5000 0.5000 0.5000
Pd 0.7500 0.7500 0.7500
Ru 0.2500 0.2500 0.2500

VASP calculation (PBE-GGA) on a relaxed structure of Cs12Rb2Au7.

Crystal system: hexagonal
SG: P-6
Formation enthalpy at 0 K: -0.1921 eV per atom

a b c (Å): 15.0360 15.0360 5.9579
angles (deg): 90.00 90.00 120.00
Fractional positions:
Cs 0.0506 0.7920 0.0000
Cs 0.1259 0.4271 0.5000
Cs 0.2080 0.2586 0.0000
Cs 0.3012 0.8741 0.5000
Cs 0.3869 0.1891 0.5000
Cs 0.5455 0.4402 0.0000
Cs 0.5598 0.1053 0.0000
Cs 0.5729 0.6988 0.5000
Cs 0.7414 0.9494 0.0000
Cs 0.8022 0.6131 0.5000
Cs 0.8109 0.1978 0.5000
Cs 0.8947 0.4545 0.0000
Rb 0.0000 0.0000 0.5000
Rb 0.3333 0.6667 0.0000
Au 0.0480 0.6276 0.5000
Au 0.2924 0.0361 0.0000
Au 0.3724 0.4204 0.5000
Au 0.5796 0.9520 0.5000
Au 0.6667 0.3333 0.5000
Au 0.7437 0.7076 0.0000
Au 0.9639 0.2563 0.0000